1.
# Na5SbTe5 | the Alexandria database | PBE | relaxed
data_Na5SbTe5
_cell_length_a 16.4157
_cell_length_b 6.2290
_cell_length_c 7.2858
_cell_angle_alpha 90.00
_cell_angle_beta 102.52
_cell_angle_gamma 90.00
_symmetry_space_group_name_H-M 'C 1 2/m 1'
_symmetry_Int_Tables_number 12
loop_
_symmetry_equiv_pos_as_xyz
'x,y,z'
'-x,-y,-z'
'-x,y,-z'
'x,-y,z'
'x+1/2,y+1/2,z'
'-x+1/2,-y+1/2,-z'
'-x+1/2,y+1/2,-z'
'x+1/2,-y+1/2,z'
loop_
_atom_site_label
_atom_site_fract_x
_atom_site_fract_y
_atom_site_fract_z
Na1 0.0000 0.0000 0.0000
Na2 0.1671 0.5000 0.8254
Na3 0.1739 0.5000 0.3567
Sb1 0.0000 0.0000 0.5000
Te1 0.0000 0.5000 0.5000
Te2 0.1557 0.0000 0.3181
Te3 0.1581 0.0000 0.8315
# **Total moment**: 0.0 μB/f.u.

---

2.
# Na3SbTe4 | the Alexandria database | PBE | relaxed
data_Na3SbTe4
_cell_length_a 9.8817
_cell_length_b 8.5924
_cell_length_c 8.0050
_cell_angle_alpha 90.00
_cell_angle_beta 90.00
_cell_angle_gamma 90.00
_symmetry_space_group_name_H-M 'P m n 21'
_symmetry_Int_Tables_number 31
loop_
_symmetry_equiv_pos_as_xyz
'x,y,z'
'-x+1/2,-y,z+1/2'
'-x,y,z'
'x+1/2,-y,z+1/2'
loop_
_atom_site_label
_atom_site_fract_x
_atom_site_fract_y
_atom_site_fract_z
Na1 0.0000 0.1473 0.0000
Na2 0.2353 0.3017 0.4647
Sb1 0.0000 0.8071 0.4743
Te1 0.0000 0.1029 0.6038
Te2 0.0000 0.8065 0.1310
Te3 0.2288 0.6524 0.5788
# **Total moment**: 0.0 μB/f.u.

---

3.
# Na3SbTe3 | the Alexandria database | PBE | relaxed
data_Na3SbTe3
_cell_length_a 9.6786
_cell_length_b 9.6786
_cell_length_c 9.6786
_cell_angle_alpha 90.00
_cell_angle_beta 90.00
_cell_angle_gamma 90.00
_symmetry_space_group_name_H-M 'P 21 3'
_symmetry_Int_Tables_number 198
_symmetry_space_group_name_Hall 'P 2ac 2ab 3'
loop_
_atom_site_label
_atom_site_fract_x
_atom_site_fract_y
_atom_site_fract_z
Na1 0.0899 0.4101 0.5899
Na2 0.1726 0.1726 0.1726
Na3 0.1827 0.8173 0.3173
Sb1 0.0387 0.5387 0.9613
Te1 0.0027 0.7596 0.6195
# **Energy above the most stable polymorph in this dataset**: 0 meV per atom
# **Total moment**: 0.0 μB/f.u.

---

4.
# NaSbTe3 | the Alexandria database | PBE | relaxed
data_NaSbTe3
_cell_length_a 12.0989
_cell_length_b 15.8690
_cell_length_c 7.3884
_cell_angle_alpha 90.00
_cell_angle_beta 93.34
_cell_angle_gamma 90.00
_symmetry_space_group_name_H-M 'C 1 2/c 1'
_symmetry_Int_Tables_number 15
loop_
_symmetry_equiv_pos_as_xyz
'x,y,z'
'-x,-y,-z'
'-x,y,-z+1/2'
'x,-y,z+1/2'
'x+1/2,y+1/2,z'
'-x+1/2,-y+1/2,-z'
'-x+1/2,y+1/2,-z+1/2'
'x+1/2,-y+1/2,z+1/2'
loop_
_atom_site_label
_atom_site_fract_x
_atom_site_fract_y
_atom_site_fract_z
Na1 0.1602 0.0803 0.4520
Sb1 0.0000 0.2808 0.7500
Sb2 0.0000 0.4368 0.2500
Te1 0.0953 0.1115 0.8721
Te2 0.1436 0.4343 0.9162
Te3 0.1461 0.2772 0.4142
# **Energy above the most stable polymorph in this dataset**: 0 meV per atom
# **Total moment**: 0.0 μB/f.u.

---

Total DFT energy (no corrections), record by record: -2.951; -3.047; -3.137; -3.244 eV/atom